This record from Alexandria via LeMat-Bulk describes ZrSbAs2 after structural relaxation. The functional is PBE.

Cell: 5.437 5.437 5.437 Å, 138.98 126.57 69.50°
Element x y z (fractional)
1 Sb 0.750 0.250 0.500
2 As 0.981 0.981 0.000
3 As 0.519 0.519 0.000
4 Zr 0.250 0.750 0.500

Calculated values
Crystal system: orthorhombic
Uncorrected formation energy in eV per atom: -0.199
Total moment in μB/f.u.: 0.0
Total energy in eV per formula unit: -22.77

=====

This record from Alexandria via LeMat-Bulk describes Zn2Ag7Sb2Au after structural relaxation. The functional is PBE.

Cell: 4.188 4.188 14.460 Å, 73.43 73.43 90.18°
Element x y z (fractional)
1 Zn 0.817 0.817 0.683
2 Zn 0.183 0.183 0.317
3 Ag 0.500 0.500 0.000
4 Ag 0.237 0.237 0.500
5 Ag 0.763 0.763 0.500
6 Ag 0.844 0.344 0.157
7 Ag 0.344 0.844 0.157
8 Ag 0.656 0.156 0.843
9 Ag 0.156 0.656 0.843
10 Sb 0.682 0.682 0.319
11 Sb 0.318 0.318 0.681
12 Au 0.000 0.000 0.000

Calculated values
Crystal system: monoclinic
Uncorrected formation energy in eV per atom: 0.050
Total moment in μB/f.u.: 0.0
Total energy in eV per formula unit: -33.43

=====

This record from Alexandria via LeMat-Bulk describes CrOs2Se after structural relaxation. The functional is PBE.

Cell: 2.849 4.558 4.496 Å, 90.00 90.00 90.00°
Each line ends with the local moment (μB).
Element x y z (fractional)
1 Cr 0.000 0.500 0.500  1.66
2 Os 0.000 0.000 0.000  -0.27
3 Os 0.500 0.500 0.000  -0.26
4 Se 0.500 0.000 0.500  -0.05

Calculated values
Crystal system: orthorhombic
Uncorrected formation energy in eV per atom: 0.605
Total moment in μB/f.u.: 1.1
Total energy in eV per formula unit: -33.15

=====

Question: Which value of total moment does entry 3 give?
Answer: 1.1 μB/f.u.